No. 1
A relaxed KFeP2 crystal, computed with GGA-PBEsol.

Unit cell a=6.473 b=6.473 c=6.473 alpha=90.00 beta=90.00 gamma=90.00
Space group F-43m (No. 216)
Inequivalent atoms, fractional coordinates:
K 0.000 0.000 0.000 [4 per cell]
Fe 0.250 0.250 0.250 [4 per cell]
P 0.000 0.000 0.500 [4 per cell]
P 0.250 0.250 0.750 [4 per cell]

Calculated values
- energy above the lowest structure with this stoichiometry (meV/atom) = 1102.2
- E_form (eV per atom) = 0.916
- calculated total energy (eV/atom) = -4.504

No. 2
A relaxed RuRhBr3 crystal, computed with GGA-PBEsol.

Unit cell a=4.918 b=4.918 c=4.918 alpha=90.00 beta=90.00 gamma=90.00
Space group Pm-3m (No. 221)
Inequivalent atoms, fractional coordinates:
Ru 0.000 0.000 0.000 [1 per cell]
Rh 0.500 0.500 0.500 [1 per cell]
Br 0.000 0.500 0.500 [3 per cell]

Calculated values
- uncorrected formation energy (eV per atom) = 0.9233
- calculated total energy (eV/atom) = -3.861

No. 3
A relaxed TaCoW2 crystal, computed with GGA-PBEsol.

Unit cell a=9.251 b=2.723 c=4.857 alpha=90.00 beta=102.43 gamma=90.00
Space group Cm (No. 8)
Inequivalent atoms, fractional coordinates:
Ta 0.000 0.000 0.000 [2 per cell]
Co 0.235 0.500 0.207 [2 per cell]
W 0.224 0.000 0.708 [2 per cell]
W 0.456 0.000 0.466 [2 per cell]

Calculated values
- energy above the lowest structure with this stoichiometry (meV/atom) = 211.1
- E_form (eV per atom) = 0.259
- calculated total energy (eV/atom) = -11.716

No. 4
A relaxed TmCuB5O10 crystal, computed with GGA-PBEsol.

Unit cell a=6.131 b=8.481 c=12.613 alpha=90.00 beta=90.00 gamma=90.00
Space group Ibam (No. 72)
Inequivalent atoms, fractional coordinates:
Tm 0.000 0.000 0.250 [4 per cell]
Cu 0.000 0.000 0.000 [4 per cell]
B 0.000 0.500 0.250 [4 per cell]
B 0.119 0.308 0.099 [16 per cell]
O 0.064 0.155 0.112 [16 per cell]
O 0.148 0.376 0.000 [8 per cell]
O 0.153 0.405 0.187 [16 per cell]

Calculated values
- uncorrected formation energy (eV per atom) = -2.4237
- calculated total energy (eV/atom) = -8.118

No. 5
A relaxed NaNbRe3 crystal, computed with GGA-PBEsol.

Unit cell a=4.378 b=4.378 c=4.378 alpha=90.00 beta=90.00 gamma=90.00
Space group Pm-3m (No. 221)
Inequivalent atoms, fractional coordinates:
Na 0.000 0.000 0.000 [1 per cell]
Nb 0.500 0.500 0.500 [1 per cell]
Re 0.000 0.000 0.500 [3 per cell]

Calculated values
- E_form (eV per atom) = 2.814
- calculated total energy (eV/atom) = -7.629

No. 6
A relaxed OsS2ClO crystal, computed with GGA-PBEsol.

Unit cell a=4.436 b=4.436 c=4.959 alpha=90.00 beta=90.00 gamma=90.00
Space group P4/mmm (No. 123)
Inequivalent atoms, fractional coordinates:
Os 0.000 0.000 0.000 [1 per cell]
S 0.000 0.500 0.000 [2 per cell]
Cl 0.000 0.000 0.500 [1 per cell]
O 0.500 0.500 0.500 [1 per cell]

Calculated values
- uncorrected formation energy (eV per atom) = 0.8186
- calculated total energy (eV/atom) = -4.830